# Ce4CdRu

A relaxed structure of Ce4CdRu (PBE, the Alexandria database).

Summary:
DOS(E_F): 2.06 states/eV per atom
Offset from the most stable computed form: 112 meV per atom
Formation energy: -0.073 eV/atom
SG: C2/c
Total magnetization: 0.0 μB/cell

a = 5.856 Å, b = 7.678 Å, c = 8.559 Å
α = 105.32°, β = 95.77°, γ = 122.59°
Atoms (fractional coordinates):
Cd: 0.331 0.581 0.161
Cd: 0.669 0.419 0.839
Ce: 0.782 0.571 0.527
Ce: 0.614 0.303 0.177
Ce: 0.062 0.873 0.177
Ce: 0.218 0.429 0.473
Ce: 0.938 0.127 0.823
Ce: 0.245 0.956 0.527
Ce: 0.755 0.044 0.473
Ce: 0.386 0.697 0.823
Ru: 0.178 0.928 0.856
Ru: 0.822 0.072 0.144